No. 1
# Ag2Sb2Te, optimized geometry, DFT PBE
data_Ag2Sb2Te
_chemical_formula_sum 'Ag2 Sb2 Te1'
_symmetry_space_group_name_H-M 'P 1'
_symmetry_Int_Tables_number 1
_cell_length_a 7.325
_cell_length_b 7.325
_cell_length_c 7.325
_cell_angle_alpha 144.80
_cell_angle_beta 144.80
_cell_angle_gamma 50.63
loop_
_symmetry_equiv_pos_as_xyz
'x,y,z'
loop_
_atom_site_label
_atom_site_type_symbol
_atom_site_fract_x
_atom_site_fract_y
_atom_site_fract_z
_atom_site_occupancy
Ag1 Ag 0.102 0.102 0.000 1
Ag2 Ag 0.898 0.898 0.000 1
Sb1 Sb 0.250 0.750 0.500 1
Sb2 Sb 0.750 0.250 0.500 1
Te1 Te 0.500 0.500 0.000 1
# Volume   130 Å³/cell
# Electronic total energy   -3.1528 eV per atom
# Total moment   0.00 μB per cell



No. 2
# Th3ScO, optimized geometry, DFT PBE
data_Th3ScO
_chemical_formula_sum 'Th3 Sc1 O1'
_symmetry_space_group_name_H-M 'P 1'
_symmetry_Int_Tables_number 1
_cell_length_a 5.025
_cell_length_b 5.025
_cell_length_c 5.025
_cell_angle_alpha 90.00
_cell_angle_beta 90.00
_cell_angle_gamma 90.00
loop_
_symmetry_equiv_pos_as_xyz
'x,y,z'
loop_
_atom_site_label
_atom_site_type_symbol
_atom_site_fract_x
_atom_site_fract_y
_atom_site_fract_z
_atom_site_occupancy
Th1 Th 0.000 0.000 0.500 1
Th2 Th 0.000 0.500 0.000 1
Th3 Th 0.500 0.000 0.000 1
Sc1 Sc 0.500 0.500 0.500 1
O1 O 0.000 0.000 0.000 1
# Volume   127 Å³/cell
# Electronic total energy   -7.7733 eV per atom
# Total moment   0.00 μB per cell



No. 3
# Bi2PtPb2, optimized geometry, DFT PBE
data_Bi2PtPb2
_chemical_formula_sum 'Bi2 Pt1 Pb2'
_symmetry_space_group_name_H-M 'P 1'
_symmetry_Int_Tables_number 1
_cell_length_a 9.266
_cell_length_b 9.266
_cell_length_c 9.266
_cell_angle_alpha 154.14
_cell_angle_beta 154.14
_cell_angle_gamma 36.90
loop_
_symmetry_equiv_pos_as_xyz
'x,y,z'
loop_
_atom_site_label
_atom_site_type_symbol
_atom_site_fract_x
_atom_site_fract_y
_atom_site_fract_z
_atom_site_occupancy
Bi1 Bi 0.084 0.084 0.000 1
Bi2 Bi 0.916 0.916 0.000 1
Pt1 Pt 0.500 0.500 0.000 1
Pb1 Pb 0.250 0.750 0.500 1
Pb2 Pb 0.750 0.250 0.500 1
# Volume   151 Å³/cell
# Calculated formation energy   424 meV/atom
# Total moment   0.00 μB per cell



No. 4
# SmTh2Pb, optimized geometry, DFT PBE
data_SmTh2Pb
_chemical_formula_sum 'Sm1 Th2 Pb1'
_symmetry_space_group_name_H-M 'P 1'
_symmetry_Int_Tables_number 1
_cell_length_a 12.632
_cell_length_b 12.632
_cell_length_c 12.632
_cell_angle_alpha 15.70
_cell_angle_beta 15.70
_cell_angle_gamma 15.70
loop_
_symmetry_equiv_pos_as_xyz
'x,y,z'
loop_
_atom_site_label
_atom_site_type_symbol
_atom_site_fract_x
_atom_site_fract_y
_atom_site_fract_z
_atom_site_occupancy
Sm1 Sm 0.000 0.000 0.000 1
Th1 Th 0.090 0.090 0.090 1
Th2 Th 0.910 0.910 0.910 1
Pb1 Pb 0.500 0.500 0.500 1
# Volume   129 Å³/cell
# Calculated formation energy   153 meV/atom
# Total moment   0.00 μB per cell